VASP calculation (GGA-PBE) on a relaxed structure of Ba2CaPu.

Computed properties:
Calculated total energy = -55.19 eV per cell
Crystal system = trigonal
E_form = 0.4456 eV/atom

a b c (Å): 3.8939 3.8939 42.3652
angles (deg): 90.00 90.00 120.00
With the nearest neighbours (Å) after each atom.
Space group R-3m (No. 166, hexagonal axes)
One atom of each set of equivalent atoms:
Ba 0.0000 0.0000 0.0849 x6  1 Pu 3.60, 6 Ba 3.89
Ca 0.0000 0.0000 0.5000 x3  6 Ca 3.89, 6 Ba 4.13
Pu 0.0000 0.0000 0.0000 x3  2 Ba 3.60, 6 Pu 3.89

---

VASP calculation (GGA-PBE) on a relaxed structure of RbBa3Ca.

Computed properties:
Calculated total energy = -6.82 eV per cell
Crystal system = cubic
E_form = 0.3836 eV/atom

a b c (Å): 7.2713 7.2713 7.2713
angles (deg): 90.00 90.00 90.00
With the nearest neighbours (Å) after each atom.
Space group Pm-3m (No. 221)
One atom of each set of equivalent atoms:
Rb 0.0000 0.0000 0.0000 x1  12 Ba 5.14
Ba 0.0000 0.5000 0.5000 x3  2 Ca 3.64
Ca 0.5000 0.5000 0.5000 x1  6 Ba 3.64

---

VASP calculation (GGA-PBE) on a relaxed structure of Rb2BaCa2.

Computed properties:
Calculated total energy = -12.82 eV per cell
Crystal system = tetragonal
E_form = 0.2904 eV/atom

a b c (Å): 11.8449 11.8449 4.4103
angles (deg): 90.00 90.00 90.00
With the nearest neighbours (Å) after each atom.
Space group P4/mbm (No. 127)
One atom of each set of equivalent atoms:
Rb 0.1215 0.3785 0.0000 x4  6 Ca 3.99-4.26, 3 Rb 4.07-4.41
Ba 0.0000 0.0000 0.0000 x2  2 Ba 4.41, 4 Rb 4.71, 8 Ca 4.88
Ca 0.1802 0.6802 0.5000 x4  6 Rb 3.99-4.26, 2 Ca 4.41

---

VASP calculation (GGA-PBE) on a relaxed structure of RbBa2Ca2.

Computed properties:
Calculated total energy = -14.65 eV per cell
Crystal system = tetragonal
E_form = 0.2979 eV/atom

a b c (Å): 5.7162 5.7162 19.8971
angles (deg): 90.00 90.00 90.00
With the nearest neighbours (Å) after each atom.
Space group I4/mmm (No. 139)
One atom of each set of equivalent atoms:
Rb 0.0000 0.0000 0.0000 x2  8 Ca 4.49
Ba 0.0000 0.5000 0.2500 x4  4 Ba 4.04, 4 Ca 4.16
Ca 0.0000 0.0000 0.4017 x4  1 Ca 3.91, 4 Ba 4.16

---

VASP calculation (GGA-PBE) on a relaxed structure of RbBaCa2.

Computed properties:
Calculated total energy = -6.24 eV per cell
Crystal system = tetragonal
E_form = 0.1630 eV/atom

a b c (Å): 4.8027 4.8027 9.9709
angles (deg): 90.00 90.00 90.00
With the nearest neighbours (Å) after each atom.
Space group P4/mmm (No. 123)
One atom of each set of equivalent atoms:
Rb 0.0000 0.0000 0.0000 x1  8 Ca 4.42, 4 Rb 4.80
Ba 0.0000 0.0000 0.5000 x1  8 Ca 4.02
Ca 0.5000 0.5000 0.2844 x2  4 Ba 4.02, 1 Ca 4.30, 4 Rb 4.42

---

VASP calculation (GGA-PBE) on a relaxed structure of RbBaCa2.

Computed properties:
Calculated total energy = -24.21 eV per cell
Crystal system = cubic
E_form = 0.2102 eV/atom

a b c (Å): 9.6808 9.6808 9.6808
angles (deg): 90.00 90.00 90.00
With the nearest neighbours (Å) after each atom.
Space group Fm-3m (No. 225)
One atom of each set of equivalent atoms:
Rb 0.0000 0.0000 0.0000 x4  8 Ca 4.19
Ba 0.0000 0.0000 0.5000 x4  8 Ca 4.19
Ca 0.2500 0.2500 0.2500 x8  4 Ba 4.19, 4 Rb 4.19

---

VASP calculation (GGA-PBE) on a relaxed structure of RbBa2Ca2.

Computed properties:
Calculated total energy = -15.23 eV per cell
Crystal system = tetragonal
E_form = 0.2401 eV/atom

a b c (Å): 4.8935 4.8935 27.1133
angles (deg): 90.00 90.00 90.00
With the nearest neighbours (Å) after each atom.
Space group I4/mmm (No. 139)
One atom of each set of equivalent atoms:
Rb 0.0000 0.0000 0.0000 x2  8 Ba 4.84, 4 Rb 4.89
Ba 0.0000 0.0000 0.3754 x4  4 Ca 4.19
Ca 0.0000 0.5000 0.2500 x4  4 Ca 3.46

---

VASP calculation (GGA-PBE) on a relaxed structure of RbBa2Ca2.

Computed properties:
Calculated total energy = -16.10 eV per cell
Crystal system = tetragonal
E_form = 0.1536 eV/atom

a b c (Å): 11.7064 11.7064 4.4727
angles (deg): 90.00 90.00 90.00
With the nearest neighbours (Å) after each atom.
Space group P4/mbm (No. 127)
One atom of each set of equivalent atoms:
Rb 0.0000 0.0000 0.0000 x2  2 Rb 4.47, 4 Ca 4.71, 8 Ba 4.86
Ba 0.1763 0.3237 0.5000 x4  6 Ca 4.13, 2 Ba 4.47
Ca 0.1138 0.6138 0.0000 x4  1 Ca 3.77, 6 Ba 4.13

---

VASP calculation (GGA-PBE) on a relaxed structure of RbBa2Ca2.

Computed properties:
Calculated total energy = -15.94 eV per cell
Crystal system = tetragonal
E_form = 0.1695 eV/atom

a b c (Å): 11.9212 11.9212 4.3044
angles (deg): 90.00 90.00 90.00
With the nearest neighbours (Å) after each atom.
Space group P4/mbm (No. 127)
One atom of each set of equivalent atoms:
Rb 0.0000 0.0000 0.0000 x2  2 Rb 4.30, 4 Ba 4.73
Ba 0.1229 0.3771 0.0000 x4  6 Ca 4.12-4.13, 3 Ba 4.15-4.30
Ca 0.1687 0.6687 0.5000 x4  6 Ba 4.12-4.13, 2 Ca 4.30

---

VASP calculation (GGA-PBE) on a relaxed structure of RbBaCa2.

Computed properties:
Calculated total energy = -21.75 eV per cell
Crystal system = tetragonal
E_form = 0.3637 eV/atom

a b c (Å): 10.6682 10.6682 7.9344
angles (deg): 90.00 90.00 90.00
With the nearest neighbours (Å) after each atom.
Space group I-42d (No. 122)
One atom of each set of equivalent atoms:
Rb 0.0000 0.0000 0.0000 x4  4 Ca 3.86, 2 Ba 3.97
Ba 0.0000 0.0000 0.5000 x4  4 Ca 3.94, 2 Rb 3.97
Ca 0.2443 0.2500 0.1250 x8  2 Rb 3.86, 2 Ba 3.94, 2 Ca 3.97

---

VASP calculation (GGA-PBE) on a relaxed structure of RbBa3Ca.

Computed properties:
Calculated total energy = -5.63 eV per cell
Crystal system = cubic
E_form = 0.6206 eV/atom

a b c (Å): 6.9531 6.9531 6.9531
angles (deg): 90.00 90.00 90.00
With the nearest neighbours (Å) after each atom.
Space group Pm-3m (No. 221)
One atom of each set of equivalent atoms:
Rb 0.0000 0.0000 0.0000 x1  6 Ba 3.48
Ba 0.0000 0.0000 0.5000 x3  2 Rb 3.48
Ca 0.5000 0.5000 0.5000 x1  12 Ba 4.92

---

VASP calculation (GGA-PBE) on a relaxed structure of Rb2BaCa.

Computed properties:
Calculated total energy = -19.42 eV per cell
Crystal system = cubic
E_form = 0.2508 eV/atom

a b c (Å): 10.2426 10.2426 10.2426
angles (deg): 90.00 90.00 90.00
With the nearest neighbours (Å) after each atom.
Space group Fm-3m (No. 225)
One atom of each set of equivalent atoms:
Rb 0.2500 0.2500 0.2500 x8  4 Ba 4.44, 4 Ca 4.44
Ba 0.0000 0.0000 0.0000 x4  8 Rb 4.44
Ca 0.0000 0.0000 0.5000 x4  8 Rb 4.44